A plane-wave DFT calculation with meta-GGA SCAN was carried out for K3SiH at its PBEsol-relaxed geometry.

a b c (Å): 5.291 5.291 5.291
angles (deg): 90.00 90.00 90.00
Sites, in units of the cell vectors:
K  0.000  0.000  0.500
K  0.000  0.500  0.000
K  0.500  0.000  0.000
Si  0.500  0.500  0.500
H  0.000  0.000  0.000

Calculated values
V	29.63	Å³/atom
VASP energy	-7.568	eV/atom
Fermi-level density of states	2.35	states/eV/f.u.
magnetization	0.400	μB/atom
symmetry	Pm-3m (221)